[1]
Below is a geometry-optimized Ba6MgIn3 structure, with properties calculated at the PBE level.

Properties
VASP energy: -47.61 eV per cell
DFT formation energy: -246 meV per atom
ΔE to the lowest computed polymorph: 0 meV per atom
DOS(E_F): 8.99 states/eV/f.u.

Cell lengths 10.748, 6.068, 13.716 Å; angles 90.00, 108.78, 90.00 degrees
Space group P2_1/m (No. 11)
Asymmetric unit:
Ba (0.028, 0.250, 0.417) (multiplicity 2)
Ba (0.149, 0.750, 0.171) (multiplicity 2)
Ba (0.236, 0.250, 0.997) (multiplicity 2)
Ba (0.326, 0.750, 0.806) (multiplicity 2)
Ba (0.367, 0.250, 0.344) (multiplicity 2)
Ba (0.390, 0.250, 0.627) (multiplicity 2)
Mg (0.461, 0.750, 0.093) (multiplicity 2)
In (0.030, 0.750, 0.870) (multiplicity 2)
In (0.109, 0.250, 0.720) (multiplicity 2)
In (0.275, 0.750, 0.474) (multiplicity 2)

=====

[2]
Below is a geometry-optimized Sr2InAg structure, with properties calculated at the PBE level.

Properties
VASP energy: -19.44 eV per cell
DFT formation energy: -191 meV per atom
DOS(E_F): 2.16 states/eV/f.u.

Cell lengths 7.576, 4.354, 9.303 Å; angles 90.00, 105.54, 90.00 degrees
Space group C2/m (No. 12)
Asymmetric unit:
Sr (0.244, 0.000, 0.232) (multiplicity 4)
In (0.000, 0.000, 0.500) (multiplicity 2)
Ag (0.000, 0.500, 0.000) (multiplicity 2)

=====

[3]
Below is a geometry-optimized Ac2Mg3Zn9 structure, with properties calculated at the PBE level.

Properties
VASP energy: -109.80 eV per cell
DFT formation energy: -213 meV per atom
DOS(E_F): 4.77 states/eV/f.u.

Cell lengths 14.386, 8.437, 9.469 Å; angles 90.00, 90.00, 90.00 degrees
Space group Cmcm (No. 63)
Asymmetric unit:
Ac (0.159, 0.169, 0.250) (multiplicity 8)
Mg (0.000, 0.000, 0.000) (multiplicity 4)
Mg (0.187, 0.500, 0.000) (multiplicity 8)
Zn (0.000, 0.158, 0.750) (multiplicity 4)
Zn (0.000, 0.341, 0.023) (multiplicity 8)
Zn (0.090, 0.448, 0.750) (multiplicity 8)
Zn (0.153, 0.188, 0.599) (multiplicity 16)

=====

[4]
Below is a geometry-optimized MgIn2Ni structure, with properties calculated at the PBE level.

Properties
VASP energy: -49.37 eV per cell
DFT formation energy: 128 meV per atom
DOS(E_F): 2.11 states/eV/f.u.

Cell lengths 6.791, 6.791, 6.791 Å; angles 90.00, 90.00, 90.00 degrees
Space group F-43m (No. 216)
Asymmetric unit:
Mg (0.000, 0.000, 0.000) (multiplicity 4)
In (0.000, 0.000, 0.500) (multiplicity 4)
In (0.250, 0.250, 0.750) (multiplicity 4)
Ni (0.250, 0.250, 0.250) (multiplicity 4)

=====

[5]
Below is a geometry-optimized LaCoPH structure, with properties calculated at the PBE level.

Properties
VASP energy: -49.22 eV per cell
DOS(E_F): 1.98 states/eV/f.u.

Cell lengths 3.831, 3.831, 8.274 Å; angles 90.00, 90.00, 90.00 degrees
Space group P4/nmm (No. 129, origin choice 2)
Asymmetric unit:
La (0.250, 0.250, 0.185) (multiplicity 2)
Co (0.250, 0.750, 0.500) (multiplicity 2)
P (0.250, 0.250, 0.642) (multiplicity 2)
H (0.250, 0.750, 0.000) (multiplicity 2)

=====

[6]
Below is a geometry-optimized IrOsRu2 structure, with properties calculated at the PBE level.

Properties
VASP energy: -136.52 eV per cell
DFT formation energy: 1128 meV per atom
ΔE to the lowest computed polymorph: 1135 meV per atom
DOS(E_F): 3.08 states/eV/f.u.

Cell lengths 5.544, 5.544, 10.974 Å; angles 90.00, 90.00, 90.00 degrees
Space group I-42d (No. 122)
Asymmetric unit:
Ir (0.000, 0.000, 0.000) (multiplicity 4)
Os (0.000, 0.000, 0.500) (multiplicity 4)
Ru (0.248, 0.250, 0.625) (multiplicity 8)